No. 1
Compound: LiZrCuSe3
Source: OQMD
Functional: PBE
Structure: optimized geometry

POSCAR file:
```
LiZrCuSe3
1.0
-0.349 -4.363 -6.010
2.907 -2.014 1.293
-5.500 -3.960 6.200
Zr Se Li Cu
2 6 2 2
direct
0.307 0.750 0.825 Zr
0.693 0.250 0.175 Zr
0.583 0.250 0.857 Se
0.731 0.250 0.472 Se
0.417 0.750 0.143 Se
0.938 0.750 0.152 Se
0.062 0.250 0.848 Se
0.269 0.750 0.528 Se
0.732 0.750 0.702 Li
0.268 0.250 0.298 Li
0.085 0.250 0.591 Cu
0.915 0.750 0.409 Cu
```

- Mass density: 5.34 g/cm³
- Size of the total moment: 0.0 Bohr magnetons per cell
- Raw total energy: -5.14 eV/atom
- Energy above the lowest structure with this stoichiometry: 0 meV/atom



No. 2
Compound: Tb5Zr2Cl3O10
Source: OQMD
Functional: PBE
Structure: optimized geometry

POSCAR file:
```
Tb5Zr2Cl3O10
1.0
-6.146 -0.349 -2.496
-2.729 -4.496 -4.058
-2.706 -5.162 7.785
Cl O Tb Zr
3 10 5 2
direct
0.624 0.624 0.616 Cl
0.376 0.376 0.384 Cl
0.000 0.000 0.500 Cl
0.317 0.820 0.201 O
0.395 0.896 0.931 O
0.683 0.180 0.799 O
0.758 0.758 0.336 O
0.820 0.317 0.201 O
0.605 0.104 0.069 O
0.896 0.395 0.931 O
0.242 0.242 0.664 O
0.104 0.605 0.069 O
0.180 0.683 0.799 O
0.914 0.914 0.231 Tb
0.204 0.204 0.098 Tb
0.086 0.086 0.769 Tb
0.796 0.796 0.902 Tb
0.500 0.500 0.000 Tb
0.398 0.398 0.660 Zr
0.602 0.602 0.340 Zr
```

- Mass density: 6.30 g/cm³
- Size of the total moment: 0.0 Bohr magnetons per cell
- Raw total energy: -7.95 eV/atom



No. 3
Compound: HoGe2
Source: OQMD
Functional: PBE
Structure: optimized geometry

POSCAR file:
```
HoGe2
1.0
0.000 3.352 3.352
3.352 0.000 3.352
3.352 3.352 0.000
Ge Ho
2 1
direct
0.750 0.750 0.750 Ge
0.250 0.250 0.250 Ge
0.000 0.000 0.000 Ho
```

- Mass density: 6.84 g/cm³
- Size of the total moment: 0.0 Bohr magnetons per cell
- Raw total energy: -4.72 eV/atom



No. 4
Compound: MgBeInNi
Source: OQMD
Functional: PBE
Structure: optimized geometry

POSCAR file:
```
MgBeInNi
1.0
-2.043 -1.678 3.489
-4.374 -0.129 0.123
-2.087 -3.835 -0.320
Mg In Ni Be
1 1 1 1
direct
0.250 0.250 0.250 Mg
0.000 0.000 0.000 In
0.750 0.750 0.750 Ni
0.500 0.500 0.500 Be
```

- Mass density: 5.79 g/cm³
- Size of the total moment: 0.0 Bohr magnetons per cell
- Raw total energy: -3.27 eV/atom
- Energy above the lowest structure with this stoichiometry: 74 meV/atom



Q: Which value of mass density does entry 2 give?
A: 6.30 g/cm³